No. 1
DFT (PBE) results for a geometry-optimized MnGe2Ir structure.

Structure (extended XYZ):
```
4
Lattice="2.971 0.000 0.000 1.486 2.573 0.000 1.486 0.858 8.809" Properties=species:S:1:pos:R:3 pbc="T T T"
Mn 0.000 0.000 0.000
Ir 2.971 1.716 4.405
Ge 1.486 0.858 6.351
Ge 4.457 2.573 2.458
```

E: -6.64 eV/atom
Formation energy: 0.17 eV/atom
Crystal system: trigonal
Spin magnetization: 3.4 Bohr magnetons per cell



No. 2
DFT (PBE) results for a geometry-optimized RbRe2O structure.

Structure (extended XYZ):
```
8
Lattice="-0.262 4.449 4.567 -5.644 -2.287 1.904 -0.855 -1.723 6.087" Properties=species:S:1:pos:R:3 pbc="T T T"
Rb 0.000 0.000 0.000
Rb -2.035 1.903 6.945
Re -4.267 -1.053 7.468
Re -4.398 1.171 9.752
Re -3.840 -0.192 4.424
Re -1.017 0.952 3.473
O -4.726 -1.464 5.614
O -2.953 1.081 3.236
```

E: -6.65 eV/atom
Crystal system: cubic
Raw formation energy: 1059 meV per atom
Spin magnetization: 5.4 Bohr magnetons per cell



No. 3
DFT (PBE) results for a geometry-optimized K3Co5Cl12 structure.

Structure (extended XYZ):
```
80
Lattice="-6.729 2.934 11.514 3.876 -13.092 0.203 11.024 7.996 -0.993" Properties=species:S:1:pos:R:3 pbc="T T T"
Cl -1.763 0.221 11.150
Cl 2.280 -7.678 2.292
Cl 3.879 0.387 7.363
Cl 10.496 1.295 -0.590
Cl 7.389 -1.265 1.738
Cl -2.324 -3.457 11.314
Cl 5.554 -6.300 3.410
Cl 10.078 -5.344 3.904
Cl 2.738 -3.960 10.057
Cl -1.907 3.182 6.820
Cl 0.567 2.515 9.838
Cl 6.231 2.171 9.482
Cl 5.897 -1.581 9.895
Cl 4.293 -2.548 3.362
Cl 1.898 -0.244 4.519
Cl 4.212 4.562 4.202
Cl 1.411 -7.130 9.297
Cl 0.782 -0.896 8.986
Cl 12.288 -2.870 2.718
Cl -1.867 -9.329 9.586
Cl 7.336 -5.726 6.394
Cl 6.274 -1.918 6.206
Cl 7.237 -8.446 0.780
Cl 4.094 -10.817 1.192
Cl 0.836 3.565 4.330
Cl 0.934 6.285 9.944
Cl -0.126 -3.448 4.500
Cl 1.941 -4.333 1.242
Cl 7.605 -4.677 0.886
Cl 10.039 7.167 1.138
Cl -1.492 -0.172 5.828
Cl 8.565 2.009 2.791
Cl 5.258 0.745 4.141
Cl -4.117 0.709 8.006
Cl 4.077 8.655 9.533
Cl 3.959 -6.724 6.522
Cl 0.429 -6.727 5.660
Cl 2.914 -2.907 6.583
Cl 5.434 1.798 0.667
Cl 8.297 1.286 6.224
Cl 2.618 4.138 7.314
Cl 5.892 5.516 8.432
Cl 9.934 -2.383 -0.426
Cl 2.275 -0.581 0.829
Cl -0.393 -4.171 7.934
Cl 7.743 4.566 5.064
Cl 6.760 4.968 1.427
Cl 9.663 -1.989 4.896
K -2.647 2.929 9.852
K 5.516 2.921 6.528
K 2.936 2.096 2.532
K 10.387 -0.452 2.137
K 10.819 -5.091 0.872
K 7.274 -3.721 3.850
K -1.603 -6.252 10.103
K 2.655 -5.083 4.196
K -2.215 -1.710 8.587
K 9.774 4.091 0.621
K 5.235 -4.257 8.193
K 0.898 1.559 6.875
Co 8.348 -0.988 6.480
Co 3.088 -9.722 2.932
Co 1.510 -2.983 8.390
Co -1.426 -5.079 5.858
Co 4.803 0.382 9.457
Co -3.364 1.467 5.757
Co 2.148 5.465 5.261
Co 1.938 -6.546 0.101
Co 1.942 -7.623 7.126
Co 4.086 -1.081 5.362
Co 1.971 4.292 9.505
Co 3.369 -2.544 1.267
Co 0.000 0.000 0.000
Co 5.512 3.998 -0.496
Co -0.176 -1.173 4.244
Co 6.229 5.461 3.599
Co 5.084 7.560 7.792
Co 7.450 -2.548 -0.395
Co 6.661 0.822 2.334
Co 6.200 -6.453 1.219
```

E: -3.98 eV/atom
Crystal system: cubic
Raw formation energy: -931 meV per atom
Spin magnetization: 56.0 Bohr magnetons per cell